First-principles (PBE with a Hubbard U) data for Cs3SrV2O8 after structural relaxation, as listed in Alexandria via LeMat-Bulk.

## Properties
Final energy, eV/cell: -87.55

Lattice parameters (Å, degrees): 6.4106 6.4106 8.4431 90.00 90.00 120.00
With the nearest neighbours (Å) after each atom.
Element x y z (fractional)
O1 0.6667 0.3333 0.9482  1 V 1.72
O2 0.3680 0.1840 0.6764  1 V 1.75
O3 0.1840 0.8160 0.3236  1 V 1.75
O4 0.1840 0.3680 0.3236  1 V 1.75
O5 0.6320 0.8160 0.3236  1 V 1.75
O6 0.8160 0.1840 0.6764  1 V 1.75
O7 0.3333 0.6667 0.0518  1 V 1.72
O8 0.8160 0.6320 0.6764  1 V 1.75
Sr1 0.0000 0.0000 0.5000  6 O 2.53
Cs1 0.3333 0.6667 0.7015  7 O 2.96-3.22
Cs2 0.6667 0.3333 0.2985  7 O 2.96-3.22
Cs3 0.0000 0.0000 0.0000  12 O 3.41-3.73
V1 0.3333 0.6667 0.2559  4 O 1.72-1.75
V2 0.6667 0.3333 0.7441  4 O 1.72-1.75


First-principles (PBE with a Hubbard U) data for Cs2SrV4O12 after structural relaxation, as listed in Alexandria via LeMat-Bulk.

## Properties
Final energy, eV/cell: -133.11

Lattice parameters (Å, degrees): 8.0624 8.0624 5.7009 90.00 90.00 90.00
With the nearest neighbours (Å) after each atom.
Element x y z (fractional)
O1 0.3063 0.6937 0.7582  1 V 1.68
O2 0.7376 0.0000 0.0000  2 V 1.82
O3 0.6937 0.3063 0.7582  1 V 1.68
O4 0.0000 0.2624 0.0000  2 V 1.82
O5 0.6937 0.3063 0.2418  1 V 1.68
O6 0.2624 0.0000 0.0000  2 V 1.82
O7 0.3063 0.6937 0.2418  1 V 1.68
O8 0.3063 0.3063 0.7582  1 V 1.68
O9 0.3063 0.3063 0.2418  1 V 1.68
O10 0.6937 0.6937 0.2418  1 V 1.68
O11 0.6937 0.6937 0.7582  1 V 1.68
O12 0.0000 0.7376 0.0000  2 V 1.82
Cs1 0.0000 0.5000 0.5000  12 O 3.27-3.43
Cs2 0.5000 0.0000 0.5000  12 O 3.27-3.43
Sr1 0.5000 0.5000 0.5000  8 O 2.65
V1 0.2226 0.2226 0.0000  4 O 1.68-1.82
V2 0.7774 0.2226 0.0000  4 O 1.68-1.82
V3 0.7774 0.7774 0.0000  4 O 1.68-1.82
V4 0.2226 0.7774 0.0000  4 O 1.68-1.82


First-principles (PBE with a Hubbard U) data for CsSrVO4 after structural relaxation, as listed in Alexandria via LeMat-Bulk.

## Properties
Final energy, eV/cell: -92.53

Lattice parameters (Å, degrees): 6.2034 6.1718 8.0401 90.00 106.22 90.00
With the nearest neighbours (Å) after each atom.
Element x y z (fractional)
O1 0.0645 0.9744 0.3169  1 V 1.76
O2 0.4239 0.7500 0.5479  1 V 1.73
O3 0.0645 0.5256 0.3169  1 V 1.76
O4 0.9355 0.0256 0.6831  1 V 1.76
O5 0.9355 0.4744 0.6831  1 V 1.76
O6 0.5844 0.2500 0.7989  1 V 1.74
O7 0.5761 0.2500 0.4521  1 V 1.73
O8 0.4156 0.7500 0.2011  1 V 1.74
Cs1 0.2933 0.2500 0.0722  6 O 3.07-3.28
Cs2 0.7067 0.7500 0.9278  6 O 3.07-3.28
Sr1 0.2169 0.2500 0.5491  6 O 2.51-2.68
Sr2 0.7831 0.7500 0.4509  6 O 2.51-2.68
V1 0.2443 0.7500 0.3402  4 O 1.73-1.76
V2 0.7557 0.2500 0.6598  4 O 1.73-1.76


First-principles (PBE with a Hubbard U) data for CsSrV2O6 after structural relaxation, as listed in Alexandria via LeMat-Bulk.

## Properties
Final energy, eV/cell: -138.26

Lattice parameters (Å, degrees): 7.8491 7.8491 6.0450 98.06 98.06 89.18
With the nearest neighbours (Å) after each atom.
Element x y z (fractional)
O1 0.5389 0.6982 0.1447  1 V 1.74
O2 0.1807 0.1650 0.0368  2 V 1.85
O3 0.4611 0.3018 0.8553  1 V 1.74
O4 0.3726 0.9304 0.7458  1 V 1.72
O5 0.0696 0.6274 0.7542  1 V 1.72
O6 0.8193 0.8350 0.9632  2 V 1.85
O7 0.9304 0.3726 0.2458  1 V 1.72
O8 0.8350 0.8193 0.4632  2 V 1.85
O9 0.3018 0.4611 0.3553  1 V 1.74
O10 0.1650 0.1807 0.5368  2 V 1.85
O11 0.6982 0.5389 0.6447  1 V 1.74
O12 0.6274 0.0696 0.2542  1 V 1.72
V1 0.8599 0.6945 0.7040  4 O 1.72-1.85
V2 0.1401 0.3055 0.2960  4 O 1.72-1.85
V3 0.3055 0.1401 0.7960  4 O 1.72-1.85
V4 0.6945 0.8599 0.2040  4 O 1.72-1.85
Cs1 0.8229 0.1771 0.7500  8 O 3.09-3.18
Cs2 0.1771 0.8229 0.2500  8 O 3.09-3.18
Sr1 0.3901 0.6099 0.7500  6 O 2.51-2.62
Sr2 0.6099 0.3901 0.2500  6 O 2.51-2.62


First-principles (PBE with a Hubbard U) data for Cs2SrV2O6 after structural relaxation, as listed in Alexandria via LeMat-Bulk.

## Properties
Final energy, eV/cell: -70.92

Lattice parameters (Å, degrees): 6.4658 6.4657 7.3557 116.07 90.00 120.00
With the nearest neighbours (Å) after each atom.
Element x y z (fractional)
Cs1 0.2794 0.5588 0.8389  9 O 3.30-3.37
Cs2 0.7206 0.4412 0.1611  9 O 3.30-3.37
Sr1 0.5000 0.0000 0.5000  6 O 2.54
O1 0.2393 0.0245 0.2625  1 V 1.72
O2 0.7852 0.0245 0.2625  1 V 1.72
O3 0.7607 0.9755 0.7375  1 V 1.72
O4 0.2388 0.4776 0.2611  1 V 1.72
O5 0.2148 0.9755 0.7375  1 V 1.72
O6 0.7612 0.5224 0.7389  1 V 1.72
V1 0.0711 0.1422 0.2123  3 O 1.72
V2 0.9289 0.8578 0.7877  3 O 1.72


First-principles (PBE with a Hubbard U) data for CsSrWO4 after structural relaxation, as listed in Alexandria via LeMat-Bulk.

## Properties
Final energy, eV/cell: -89.15

Lattice parameters (Å, degrees): 6.5997 6.4278 7.9928 90.00 106.06 90.00
With the nearest neighbours (Å) after each atom.
Element x y z (fractional)
Cs1 0.2695 0.2500 0.0570  2 O 2.98-3.09
Cs2 0.7305 0.7500 0.9430  2 O 2.98-3.09
O1 0.9260 0.0389 0.6703  1 W 1.95
O2 0.5271 0.2500 0.4272  1 W 1.84
O3 0.9260 0.4611 0.6703  1 W 1.95
O4 0.4729 0.7500 0.5728  1 W 1.84
O5 0.0740 0.9611 0.3297  1 W 1.95
O6 0.0740 0.5389 0.3297  1 W 1.95
O7 0.5616 0.2500 0.8139  1 W 1.85
O8 0.4384 0.7500 0.1861  1 W 1.85
W1 0.2911 0.7500 0.3525  4 O 1.84-1.95
W2 0.7089 0.2500 0.6475  4 O 1.84-1.95
Sr1 0.1759 0.2500 0.5400  5 O 2.47-2.71
Sr2 0.8241 0.7500 0.4600  5 O 2.47-2.71


First-principles (PBE with a Hubbard U) data for Cs3Sr2WO6 after structural relaxation, as listed in Alexandria via LeMat-Bulk.

## Properties
Final energy, eV/cell: -67.29

Lattice parameters (Å, degrees): 6.3173 6.3173 7.0709 98.46 98.46 119.91
With the nearest neighbours (Å) after each atom.
Element x y z (fractional)
O1 0.0538 0.3271 0.1633  1 W 2.05
O2 0.7780 0.7780 0.1730  1 W 2.12
O3 0.9462 0.6729 0.8367  1 W 2.05
O4 0.2220 0.2220 0.8270  1 W 2.12
O5 0.6729 0.9462 0.8367  1 W 2.05
O6 0.3271 0.0538 0.1633  1 W 2.05
W1 0.0000 0.0000 0.0000  6 O 2.05-2.12
Cs1 0.8341 0.1659 0.5000  4 O 2.95-2.98
Cs2 0.1659 0.8341 0.5000  4 O 2.95-2.98
Cs3 0.5000 0.5000 0.5000  6 O 3.00-3.29
Sr1 0.3343 0.6657 0.0000  6 O 2.57-2.58
Sr2 0.6657 0.3343 0.0000  6 O 2.57-2.58